Density functional theory data (PBE) for SiRhNO2 after structural relaxation.

Geometry as CIF:
```
data_SiRhNO2
_space_group_name_H-M_alt 'P 4/m m m'
_space_group_IT_number 123
_space_group_name_Hall '-P 4 2'
_cell_length_a 3.4657
_cell_length_b 3.4657
_cell_length_c 3.8364
_cell_angle_alpha 90.00
_cell_angle_beta 90.00
_cell_angle_gamma 90.00
loop_
_atom_site_label
_atom_site_type_symbol
_atom_site_fract_x
_atom_site_fract_y
_atom_site_fract_z
Si1 Si 0.0000 0.0000 0.0000
Rh1 Rh 0.5000 0.5000 0.5000
N1 N 0.0000 0.0000 0.5000
O1 O 0.0000 0.5000 0.0000
```

Computed properties:
E_form (uncorrected): -455 meV/atom
Total magnetic moment: 0.298 μB/atom

---

Density functional theory data (PBE) for SnRhNO2 after structural relaxation.

Geometry as CIF:
```
data_SnRhNO2
_space_group_name_H-M_alt 'P 4/m m m'
_space_group_IT_number 123
_space_group_name_Hall '-P 4 2'
_cell_length_a 4.0530
_cell_length_b 4.0530
_cell_length_c 4.1553
_cell_angle_alpha 90.00
_cell_angle_beta 90.00
_cell_angle_gamma 90.00
loop_
_atom_site_label
_atom_site_type_symbol
_atom_site_fract_x
_atom_site_fract_y
_atom_site_fract_z
Sn1 Sn 0.0000 0.0000 0.0000
Rh1 Rh 0.5000 0.5000 0.5000
N1 N 0.0000 0.0000 0.5000
O1 O 0.0000 0.5000 0.0000
```

Computed properties:
E_form (uncorrected): 477 meV/atom
Total magnetic moment: 0.776 μB/atom

---

Density functional theory data (PBE) for SnRhNO2 after structural relaxation.

Geometry as CIF:
```
data_SnRhNO2
_space_group_name_H-M_alt 'P 4/m m m'
_space_group_IT_number 123
_space_group_name_Hall '-P 4 2'
_cell_length_a 4.1748
_cell_length_b 4.1748
_cell_length_c 3.6941
_cell_angle_alpha 90.00
_cell_angle_beta 90.00
_cell_angle_gamma 90.00
loop_
_atom_site_label
_atom_site_type_symbol
_atom_site_fract_x
_atom_site_fract_y
_atom_site_fract_z
Sn1 Sn 0.0000 0.0000 0.0000
Rh1 Rh 0.5000 0.5000 0.5000
N1 N 0.5000 0.5000 0.0000
O1 O 0.0000 0.5000 0.5000
```

Computed properties:
E_form (uncorrected): -48 meV/atom
Total magnetic moment: 0.000 μB/atom

---

Density functional theory data (PBE) for SrRhN2O after structural relaxation.

Geometry as CIF:
```
data_SrRhN2O
_space_group_name_H-M_alt 'P 4/m m m'
_space_group_IT_number 123
_space_group_name_Hall '-P 4 2'
_cell_length_a 3.8304
_cell_length_b 3.8304
_cell_length_c 4.5124
_cell_angle_alpha 90.00
_cell_angle_beta 90.00
_cell_angle_gamma 90.00
loop_
_atom_site_label
_atom_site_type_symbol
_atom_site_fract_x
_atom_site_fract_y
_atom_site_fract_z
Sr1 Sr 0.0000 0.0000 0.0000
Rh1 Rh 0.5000 0.5000 0.5000
N1 N 0.0000 0.5000 0.5000
O1 O 0.5000 0.5000 0.0000
```

Computed properties:
E_form (uncorrected): -195 meV/atom
Total magnetic moment: 0.000 μB/atom

---

Density functional theory data (PBE) for SrRhN2O after structural relaxation.

Geometry as CIF:
```
data_SrRhN2O
_space_group_name_H-M_alt 'P 4/m m m'
_space_group_IT_number 123
_space_group_name_Hall '-P 4 2'
_cell_length_a 4.8792
_cell_length_b 4.8792
_cell_length_c 4.4328
_cell_angle_alpha 90.00
_cell_angle_beta 90.00
_cell_angle_gamma 90.00
loop_
_atom_site_label
_atom_site_type_symbol
_atom_site_fract_x
_atom_site_fract_y
_atom_site_fract_z
Sr1 Sr 0.0000 0.0000 0.0000
Rh1 Rh 0.5000 0.5000 0.5000
N1 N 0.0000 0.5000 0.0000
O1 O 0.0000 0.0000 0.5000
```

Computed properties:
E_form (uncorrected): 1962 meV/atom
Total magnetic moment: 0.592 μB/atom

---

Density functional theory data (PBE) for TaRhN2O after structural relaxation.

Geometry as CIF:
```
data_TaRhN2O
_space_group_name_H-M_alt 'P 4/m m m'
_space_group_IT_number 123
_space_group_name_Hall '-P 4 2'
_cell_length_a 3.8328
_cell_length_b 3.8328
_cell_length_c 3.7707
_cell_angle_alpha 90.00
_cell_angle_beta 90.00
_cell_angle_gamma 90.00
loop_
_atom_site_label
_atom_site_type_symbol
_atom_site_fract_x
_atom_site_fract_y
_atom_site_fract_z
Ta1 Ta 0.0000 0.0000 0.0000
Rh1 Rh 0.5000 0.5000 0.5000
N1 N 0.0000 0.5000 0.5000
O1 O 0.5000 0.5000 0.0000
```

Computed properties:
E_form (uncorrected): 775 meV/atom
Total magnetic moment: 0.000 μB/atom

---

Density functional theory data (PBE) for TaRhNO2 after structural relaxation.

Geometry as CIF:
```
data_TaRhNO2
_space_group_name_H-M_alt 'P 4/m m m'
_space_group_IT_number 123
_space_group_name_Hall '-P 4 2'
_cell_length_a 3.8339
_cell_length_b 3.8339
_cell_length_c 3.9105
_cell_angle_alpha 90.00
_cell_angle_beta 90.00
_cell_angle_gamma 90.00
loop_
_atom_site_label
_atom_site_type_symbol
_atom_site_fract_x
_atom_site_fract_y
_atom_site_fract_z
Ta1 Ta 0.0000 0.0000 0.0000
Rh1 Rh 0.5000 0.5000 0.5000
N1 N 0.5000 0.5000 0.0000
O1 O 0.0000 0.5000 0.5000
```

Computed properties:
E_form (uncorrected): 345 meV/atom
Total magnetic moment: 0.000 μB/atom

---

Density functional theory data (PBE) for TaRhNO2 after structural relaxation.

Geometry as CIF:
```
data_TaRhNO2
_space_group_name_H-M_alt 'P 4/m m m'
_space_group_IT_number 123
_space_group_name_Hall '-P 4 2'
_cell_length_a 3.9183
_cell_length_b 3.9183
_cell_length_c 4.1736
_cell_angle_alpha 90.00
_cell_angle_beta 90.00
_cell_angle_gamma 90.00
loop_
_atom_site_label
_atom_site_type_symbol
_atom_site_fract_x
_atom_site_fract_y
_atom_site_fract_z
Ta1 Ta 0.0000 0.0000 0.0000
Rh1 Rh 0.5000 0.5000 0.5000
N1 N 0.0000 0.0000 0.5000
O1 O 0.0000 0.5000 0.0000
```

Computed properties:
E_form (uncorrected): -693 meV/atom
Total magnetic moment: 0.473 μB/atom

---

Which of these has the lowest E_form (uncorrected)? number 8